(1)
The following is a DFT calculation (GGA-PBE) of an optimized crystal structure of ScZnCdCo.

Values from the calculation:
The calculation puts the calculated formation energy at -0.090 eV per atom.

Cell lengths 6.4270, 6.4270, 6.4270 Å; angles 90.00, 90.00, 90.00 degrees
Element x y z (fractional)
Sc  0.0000  0.0000  0.0000
Sc  0.0000  0.5000  0.5000
Sc  0.5000  0.0000  0.5000
Sc  0.5000  0.5000  0.0000
Zn  0.2500  0.2500  0.2500
Zn  0.2500  0.7500  0.7500
Zn  0.7500  0.2500  0.7500
Zn  0.7500  0.7500  0.2500
Cd  0.0000  0.0000  0.5000
Cd  0.0000  0.5000  0.0000
Cd  0.5000  0.0000  0.0000
Cd  0.5000  0.5000  0.5000
Co  0.2500  0.2500  0.7500
Co  0.2500  0.7500  0.2500
Co  0.7500  0.2500  0.2500
Co  0.7500  0.7500  0.7500



(2)
The following is a DFT calculation (GGA-PBE) of an optimized crystal structure of LiLa2Rh.

Values from the calculation:
The calculation puts the calculated formation energy at -0.278 eV per atom.

Cell lengths 3.5801, 4.7795, 12.3420 Å; angles 90.00, 90.00, 90.00 degrees
Element x y z (fractional)
Li  0.0000  0.0000  0.0000
Li  0.5000  0.5000  0.5000
La  0.0000  0.0000  0.3713
La  0.0000  0.5000  0.1696
La  0.5000  0.0000  0.6696
La  0.5000  0.5000  0.8713
Rh  0.0000  0.5000  0.6767
Rh  0.5000  0.0000  0.1767



(3)
The following is a DFT calculation (GGA-PBE) of an optimized crystal structure of ZrOs3N.

Values from the calculation:
The calculation puts the raw formation energy at 3.726 eV/atom. For the polymorph energy (0 for the lowest one), the calculation gives 3.584 eV/atom.

Cell lengths 4.9153, 4.9153, 4.9153 Å; angles 90.00, 90.00, 90.00 degrees
Element x y z (fractional)
Zr  0.0000  0.0000  0.0000
Os  0.0000  0.0000  0.5000
Os  0.0000  0.5000  0.0000
Os  0.5000  0.0000  0.0000
N  0.5000  0.5000  0.5000